Entry from Alexandria via LeMat-Bulk: a geometry-optimized PuTh2PaC4 structure (PBE).

Geometry as POSCAR:
```
PuTh2PaC4
1.0
3.678 0.000 0.000
0.000 6.360 -0.100
0.000 2.263 5.956
C Pu Th Pa
4 1 2 1
direct
0.000 0.725 0.757
0.500 0.728 0.264
0.000 0.275 0.243
0.500 0.272 0.736
0.500 0.500 0.000
0.000 0.000 0.000
0.500 0.000 0.500
0.000 0.500 0.500
```

- total magnetic moment (μB/f.u.) = 4.357
- E_tot (eV/atom) = -9.66
- space group = P2/m (10)
- formation energy (eV per formula unit) = -1.69



Entry from Alexandria via LeMat-Bulk: a geometry-optimized Pm3Ho3Cd structure (PBE).

Geometry as POSCAR:
```
Pm3Ho3Cd
1.0
-4.852 -0.213 -2.714
3.669 -6.306 -6.064
-4.299 -2.976 7.919
Pm Ho Cd
6 6 2
direct
0.250 0.525 0.632
0.250 0.106 0.475
0.750 0.475 0.368
0.750 0.894 0.525
0.250 0.368 0.893
0.750 0.632 0.107
0.250 0.237 0.179
0.250 0.821 0.058
0.250 0.942 0.763
0.750 0.179 0.942
0.750 0.058 0.237
0.750 0.763 0.821
0.250 0.667 0.333
0.750 0.333 0.667
```

- total magnetic moment (μB/f.u.) = 0.000
- E_tot (eV/atom) = -4.17
- space group = P6_3/m (176)
- formation energy (eV per formula unit) = -0.27



Entry from Alexandria via LeMat-Bulk: a geometry-optimized PrNd6Sm2Tm structure (PBE).

Geometry as POSCAR:
```
PrNd6Sm2Tm
1.0
9.324 -2.102 -2.181
0.837 8.725 -2.050
0.837 -2.372 8.643
Pr Nd Tm Sm
2 12 2 4
direct
0.750 0.022 0.978
0.250 0.978 0.022
0.882 0.294 0.508
0.812 0.433 0.989
0.054 0.120 0.753
0.554 0.753 0.120
0.188 0.567 0.011
0.446 0.247 0.880
0.382 0.508 0.294
0.618 0.492 0.706
0.118 0.706 0.492
0.688 0.011 0.567
0.312 0.989 0.433
0.946 0.880 0.247
0.750 0.590 0.410
0.250 0.410 0.590
0.955 0.699 0.800
0.455 0.800 0.699
0.045 0.301 0.200
0.545 0.200 0.301
```

- total magnetic moment (μB/f.u.) = 0.000
- E_tot (eV/atom) = -4.62
- space group = C2/c (15)
- formation energy (eV per formula unit) = 1.12